No. 1
DFT (PBE) results for CdTcCl2 after structural relaxation.

Values from the calculation:
**Formation energy (no corrections)**: -0.1681 eV/atom
**Crystal system**: monoclinic

Unit cell a=4.7339 b=3.1212 c=7.3131 alpha=90.00 beta=108.82 gamma=90.00
With the nearest neighbours (Å) after each atom.
Fractional coordinates of all 4 atoms:
Cd  0.0000  0.0000  0.0000  4 Tc 2.87, 2 Cd 3.12
Tc  0.5336  0.5000  0.0674  3 Cl 2.31-2.38
Cl  0.3675  0.5000  0.7331  1 Tc 2.31
Cl  0.6628  0.0000  0.3272  2 Tc 2.38

No. 2
DFT (PBE) results for Cr2ReW after structural relaxation.

Values from the calculation:
**Energy of formation from the pure elements**: 0.077 eV/atom
**Crystal system**: orthorhombic

Unit cell a=4.9751 b=4.9751 c=4.9751 alpha=144.47 beta=128.47 gamma=64.16
With the nearest neighbours (Å) after each atom.
Fractional coordinates of all 4 atoms:
Cr  0.2486  0.2486  0.0000  2 W 2.59, 2 Re 2.61, 4 Cr 2.64
Cr  0.7514  0.7514  0.0000  2 W 2.59, 2 Re 2.61, 4 Cr 2.64
Re  0.5000  0.0000  0.5000  4 Cr 2.61, 4 W 2.64
W  0.0000  0.5000  0.5000  4 Cr 2.59, 4 Re 2.64

no.,final energy (eV per atom),ρ (g/cm3)
1,-3.912,4.57
2,-11.086,14.22